No. 1
This record from the Alexandria database describes a relaxed structure of KTmGeO3. The functional is PBE.

Cell: 3.339 9.350 7.208 Å, 90.31 90.00 90.00°
Sites, in units of the cell vectors:
K (0.750, 0.743, 0.679)
K (0.250, 0.257, 0.321)
Tm (0.250, 0.622, 0.122)
Tm (0.750, 0.378, 0.878)
Ge (0.250, 0.104, 0.747)
Ge (0.750, 0.896, 0.253)
O (0.250, 0.790, 0.358)
O (0.750, 0.776, 0.050)
O (0.750, 0.471, 0.165)
O (0.750, 0.210, 0.642)
O (0.250, 0.529, 0.835)
O (0.250, 0.224, 0.950)

As for the density of states at the Fermi level: 0.000 states/eV per cell. The volume comes out at 18.75 A^3/atom. The formation energy without anion corrections is -1330 kJ/mol of formula units. The value obtained for the total magnetic moment is 0.00 Bohr magnetons per cell. The total energy comes out at -77.681 eV per cell. The symmetry is P2_1/m (11).

---

No. 2
This record from the Alexandria database describes a relaxed structure of Zr2Re2C3. The functional is PBE.

Cell: 3.168 5.522 5.785 Å, 109.87 105.89 90.00°
Sites, in units of the cell vectors:
Zr (0.611, 0.828, 0.222)
Zr (0.389, 0.172, 0.778)
Re (0.846, 0.666, 0.693)
Re (0.154, 0.334, 0.307)
C (0.000, 0.000, 0.000)
C (0.757, 0.253, 0.514)
C (0.243, 0.747, 0.486)

As for the density of states at the Fermi level: 1.959 states/eV per cell. The volume comes out at 13.01 A^3/atom. The value obtained for the total magnetic moment is 0.00 Bohr magnetons per cell. The total energy comes out at -72.658 eV per cell. The symmetry is C2/m (12). The calculation puts the energy of formation from the pure elements at -41 kJ/mol of atoms.

---

No. 3
This record from the Alexandria database describes a relaxed structure of Sr2HfNi. The functional is PBE.

Cell: 11.290 11.290 8.328 Å, 47.33 47.33 90.00°
Sites, in units of the cell vectors:
Sr (0.464, 0.125, 0.250)
Sr (0.286, 0.625, 0.250)
Sr (0.375, 0.536, 0.750)
Sr (0.875, 0.714, 0.750)
Hf (0.000, 0.000, 0.000)
Hf (0.750, 0.250, 0.500)
Ni (0.500, 0.500, 0.000)
Ni (0.250, 0.750, 0.500)

As for the density of states at the Fermi level: 8.380 states/eV per cell. The volume comes out at 37.78 A^3/atom. Its energy above the most stable polymorph in this dataset is 0.000 kcal/mol of atoms. The value obtained for the total magnetic moment is 0.00 Bohr magnetons per cell. The total energy comes out at -34.423 eV per cell. The symmetry is I-42d (122). The calculation puts the energy of formation from the pure elements at 46 kJ/mol of atoms.

---

No. 4
This record from the Alexandria database describes a relaxed structure of CaVC3. The functional is PBE.

Cell: 3.958 3.958 3.958 Å, 90.00 90.00 90.00°
Sites, in units of the cell vectors:
Ca (0.500, 0.500, 0.500)
C (0.000, 0.500, 0.000)
C (0.000, 0.000, 0.500)
C (0.500, 0.000, 0.000)
V (0.000, 0.000, 0.000)

As for the density of states at the Fermi level: 2.777 states/eV per cell. The volume comes out at 12.40 A^3/atom. Its energy above the most stable polymorph in this dataset is 0.000 kcal/mol of atoms. The value obtained for the total magnetic moment is 0.00 Bohr magnetons per cell. The total energy comes out at -34.320 eV per cell. The symmetry is Pm-3m (221). The calculation puts the energy of formation from the pure elements at 86 kJ/mol of atoms.

---

No. 5
This record from the Alexandria database describes a relaxed structure of AgAs2SBr. The functional is PBE.

Cell: 4.893 5.090 4.893 Å, 90.00 90.00 90.00°
Sites, in units of the cell vectors:
S (0.000, 0.000, 0.000)
As (0.000, 0.000, 0.500)
As (0.500, 0.000, 0.000)
Br (0.500, 0.500, 0.500)
Ag (0.000, 0.500, 0.000)

As for the density of states at the Fermi level: 3.621 states/eV per cell. The volume comes out at 24.37 A^3/atom. The formation energy without anion corrections is 292 kJ/mol of formula units. Its energy above the most stable polymorph in this dataset is 0.000 kcal/mol of atoms. The value obtained for the total magnetic moment is 0.00 Bohr magnetons per cell. The total energy comes out at -14.924 eV per cell. The symmetry is P4/mmm (123).

---

No. 6
This record from the Alexandria database describes a relaxed structure of Cs5Na3Hg12. The functional is PBE.

Cell: 17.536 17.536 17.536 Å, 109.47 109.47 109.47°
Sites, in units of the cell vectors:
Na (0.750, 0.375, 0.125)
Na (0.875, 0.750, 0.125)
Na (0.375, 0.750, 0.625)
Na (0.250, 0.125, 0.375)
Na (0.875, 0.125, 0.250)
Na (0.375, 0.625, 0.250)
Na (0.625, 0.375, 0.750)
Na (0.125, 0.875, 0.750)
Na (0.750, 0.875, 0.625)
Na (0.625, 0.250, 0.375)
Na (0.125, 0.250, 0.875)
Na (0.250, 0.625, 0.875)
Cs (0.125, 0.375, 0.250)
Cs (0.000, 0.500, 0.000)
Cs (0.000, 0.000, 0.000)
Cs (0.375, 0.250, 0.125)
Cs (0.500, 0.000, 0.500)
Cs (0.500, 0.500, 0.000)
Cs (0.125, 0.750, 0.375)
Cs (0.750, 0.125, 0.875)
Cs (0.750, 0.625, 0.375)
Cs (0.375, 0.125, 0.750)
Cs (0.625, 0.875, 0.250)
Cs (0.500, 0.500, 0.500)
Cs (0.500, 0.000, 0.000)
Cs (0.000, 0.000, 0.500)
Cs (0.250, 0.375, 0.625)
Cs (0.250, 0.875, 0.125)
Cs (0.000, 0.500, 0.500)
Cs (0.875, 0.250, 0.625)
Cs (0.625, 0.750, 0.875)
Cs (0.875, 0.625, 0.750)
Hg (0.738, 0.164, 0.098)
Hg (0.360, 0.598, 0.434)
Hg (0.902, 0.336, 0.262)
Hg (0.598, 0.238, 0.164)
Hg (0.574, 0.738, 0.640)
Hg (0.902, 0.566, 0.140)
Hg (0.360, 0.762, 0.426)
Hg (0.066, 0.926, 0.164)
Hg (0.566, 0.902, 0.640)
Hg (0.738, 0.574, 0.140)
Hg (0.762, 0.402, 0.336)
Hg (0.860, 0.934, 0.098)
Hg (0.164, 0.738, 0.598)
Hg (0.336, 0.434, 0.074)
Hg (0.074, 0.934, 0.336)
Hg (0.426, 0.164, 0.566)
Hg (0.074, 0.140, 0.238)
Hg (0.402, 0.640, 0.066)
Hg (0.860, 0.926, 0.262)
Hg (0.164, 0.426, 0.066)
Hg (0.336, 0.902, 0.762)
Hg (0.566, 0.664, 0.426)
Hg (0.934, 0.860, 0.598)
Hg (0.762, 0.360, 0.926)
Hg (0.434, 0.336, 0.574)
Hg (0.066, 0.140, 0.402)
Hg (0.238, 0.640, 0.074)
Hg (0.140, 0.074, 0.738)
Hg (0.664, 0.098, 0.238)
Hg (0.836, 0.574, 0.934)
Hg (0.598, 0.360, 0.934)
Hg (0.574, 0.836, 0.434)
Hg (0.926, 0.860, 0.762)
Hg (0.926, 0.066, 0.664)
Hg (0.836, 0.262, 0.402)
Hg (0.140, 0.066, 0.902)
Hg (0.664, 0.566, 0.926)
Hg (0.434, 0.098, 0.360)
Hg (0.262, 0.426, 0.860)
Hg (0.238, 0.598, 0.664)
Hg (0.934, 0.074, 0.836)
Hg (0.640, 0.238, 0.574)
Hg (0.402, 0.762, 0.836)
Hg (0.098, 0.434, 0.860)
Hg (0.426, 0.262, 0.360)
Hg (0.098, 0.664, 0.738)
Hg (0.640, 0.402, 0.566)
Hg (0.262, 0.836, 0.902)

As for the density of states at the Fermi level: 34.278 states/eV per cell. The volume comes out at 51.89 A^3/atom. The value obtained for the total magnetic moment is 0.00 Bohr magnetons per cell. The total energy comes out at -59.452 eV per cell. The symmetry is Ia-3d (230). The calculation puts the energy of formation from the pure elements at -15 kJ/mol of atoms.